(1)
Below is crystalline EuAlRh2 at its relaxed geometry, with properties calculated at the PBE level.

The structure belongs to space group P4/mmm (No. 123); the cell edges are 3.1301, 3.1301 and 7.0412 Å and the angles 90.00°, 90.00° and 90.00°. The asymmetric unit holds Eu at (0.0000, 0.0000, 0.0000), Al at (0.0000, 0.0000, 0.5000) and Rh at (0.5000, 0.5000, 0.2994).

The energy of formation is -0.62 eV per atom. For the total energy, the calculation gives -7.80 eV/atom. The value obtained for the spin magnetization is 6.78 μB per formula unit.

---

(2)
Below is crystalline SrMg2I6 at its relaxed geometry, with properties calculated at the PBE level.

The structure belongs to space group C2/m (No. 12); the cell edges are 15.2466, 4.6127 and 12.5363 Å and the angles 90.00°, 92.27° and 90.00°. The asymmetric unit holds Sr at (0.0000, 0.0000, 0.0000), Mg at (0.2264, 0.5000, 0.7317), I at (0.0966, 0.0000, 0.2379), I at (0.1420, 0.5000, 0.9291) and I at (0.1681, 0.0000, 0.6255).

For the total energy, the calculation gives -2.78 eV/atom. The value obtained for the raw formation energy is -10.83 eV per formula unit. Its energy relative to the lowest polymorph listed for this composition is 40 meV/atom. The value obtained for the spin magnetization is 0.00 μB per formula unit.

---

(3)
Below is crystalline KTmSnI6 at its relaxed geometry, with properties calculated at the PBE level.

The structure belongs to space group P312 (No. 149); the cell edges are 8.0205, 8.0205 and 7.7393 Å and the angles 90.00°, 90.00° and 120.00°. The asymmetric unit holds K at (0.0000, 0.0000, 0.0000), Tm at (0.3333, 0.6667, 0.5000), Sn at (0.6667, 0.3333, 0.5000) and I at (0.0178, 0.3741, 0.2724).

For the total energy, the calculation gives -3.21 eV/atom. The value obtained for the raw formation energy is -10.03 eV per formula unit. The value obtained for the spin magnetization is 0.00 μB per formula unit.